Entry 1:
This record from Alexandria describes a geometry-optimized K2LiTlCl4 structure. The functional is PBE.

Structure (extended XYZ):
```
16
Lattice="-4.3657 4.4814 6.1356 4.3657 -4.4814 6.1356 4.3657 4.4814 -6.1356" Properties=species:S:1:pos:R:3 pbc="T T T"
K 0.0000 0.0000 0.0000
K -2.1829 2.2407 3.0678
K 0.0000 4.4814 0.0000
K 2.1829 2.2407 3.0678
Li 4.3657 0.0000 0.0000
Li 0.0000 0.0000 6.1356
Tl 2.1829 2.2407 -3.0678
Tl 2.1829 -2.2407 3.0678
Cl 4.3657 0.0546 2.5061
Cl 2.2043 2.2407 0.0341
Cl 6.5272 2.2407 0.0341
Cl 0.0000 0.0546 3.6296
Cl 4.3657 4.4268 2.5061
Cl -2.1615 2.2407 6.1015
Cl 2.1615 2.2407 6.1015
Cl 0.0000 4.4268 3.6296
```

final energy	-26.79	eV per formula unit
volume	30.0	A^3/atom
formation energy without anion corrections	-155.96	kJ/mol of atoms

=====

Entry 2:
This record from Alexandria describes a geometry-optimized BaNaEuAg structure. The functional is PBE.

Structure (extended XYZ):
```
4
Lattice="0.0000 4.1816 4.1816 4.1816 0.0000 4.1816 4.1816 4.1816 0.0000" Properties=species:S:1:pos:R:3 pbc="T T T"
Ba 0.0000 0.0000 0.0000
Na 2.0908 2.0908 2.0908
Eu 4.1816 4.1816 4.1816
Ag 6.2724 6.2724 6.2724
```

final energy	-16.54	eV per formula unit
volume	36.6	A^3/atom
formation energy	-0.04	eV per atom

=====

Entry 3:
This record from Alexandria describes a geometry-optimized InCo2Ni structure. The functional is PBE.

Structure (extended XYZ):
```
4
Lattice="2.6135 -3.6965 0.0000 2.6135 3.6965 0.0000 0.0000 0.0000 2.7638" Properties=species:S:1:pos:R:3 pbc="T T T"
In 0.0000 0.0000 0.0000
Co 1.3068 1.8482 1.3819
Co 1.3068 -1.8482 1.3819
Ni 2.6135 0.0000 0.0000
```

final energy	-21.69	eV per formula unit
volume	13.4	A^3/atom
formation energy	0.26	eV per atom

=====

Entry 4:
This record from Alexandria describes a geometry-optimized Y4NiP structure. The functional is PBE.

Structure (extended XYZ):
```
6
Lattice="0.0000 4.2773 4.2773 4.2773 0.0000 4.2773 4.2773 4.2773 0.0000" Properties=species:S:1:pos:R:3 pbc="T T T"
Y 1.0701 1.0701 1.0701
Y 3.2072 3.2072 1.0701
Y 3.2072 1.0701 3.2072
Y 1.0701 3.2072 3.2072
Ni 6.4159 6.4159 6.4159
P 4.2773 4.2773 4.2773
```

final energy	-32.85	eV per formula unit
volume	26.1	A^3/atom
formation energy	0.70	eV per atom

=====

Entry 5:
This record from Alexandria describes a geometry-optimized Sr5Ca6La structure. The functional is PBE.

Structure (extended XYZ):
```
12
Lattice="-2.9183 5.5244 8.6673 2.9183 -5.5244 8.6673 2.9183 5.5244 -8.6673" Properties=species:S:1:pos:R:3 pbc="T T T"
Sr 0.0000 0.0000 0.0000
Sr 2.9183 0.0000 2.8649
Sr 0.0000 0.0000 5.7991
Sr 0.0000 0.0000 11.5355
Sr 0.0000 5.5244 5.8024
Ca 2.9183 -2.6982 5.8418
Ca 2.9183 2.8796 0.0000
Ca 0.0000 2.8262 2.8255
Ca 2.9183 2.6982 5.8418
Ca 0.0000 2.6448 8.6673
Ca 0.0000 8.2226 2.8255
La 0.0000 5.5244 0.0000
```

final energy	-24.70	eV per formula unit
volume	46.6	A^3/atom
formation energy	0.05	eV per atom

=====

Entry 6:
This record from Alexandria describes a geometry-optimized TiB2W structure. The functional is PBE.

Structure (extended XYZ):
```
4
Lattice="1.5811 0.9128 5.1818 -1.5811 0.9128 5.1818 0.0000 -1.8257 5.1818" Properties=species:S:1:pos:R:3 pbc="T T T"
Ti 0.0000 0.0000 0.0000
B 0.0000 0.0000 3.8744
B 0.0000 0.0000 11.6709
W 0.0000 0.0000 7.7727
```

final energy	-36.04	eV per formula unit
volume	11.2	A^3/atom
polymorph energy (0 for the lowest one)	1.30	eV per formula unit
formation energy	-0.46	eV per atom

=====

Entry 7:
This record from Alexandria describes a geometry-optimized Rb2MgCrSb structure. The functional is PBE.

Structure (extended XYZ):
```
5
Lattice="7.1925 0.0000 0.0000 0.0000 7.1925 0.0000 0.0000 0.0000 5.2761" Properties=species:S:1:pos:R:3 pbc="T T T"
Rb 0.0000 3.5963 0.0000
Rb 3.5963 0.0000 0.0000
Mg 0.0000 0.0000 2.6381
Cr 3.5963 3.5963 2.6381
Sb 0.0000 0.0000 0.0000
```

final energy	-14.76	eV per formula unit
volume	54.6	A^3/atom
formation energy without anion corrections	48.61	kJ/mol of atoms

=====

Entry 8:
This record from Alexandria describes a geometry-optimized LaNbCd2 structure. The functional is PBE.

Structure (extended XYZ):
```
8
Lattice="-2.1548 2.1548 11.1712 2.1548 -2.1548 11.1712 2.1548 2.1548 -11.1712" Properties=species:S:1:pos:R:3 pbc="T T T"
La 0.0000 0.0000 0.0000
La 0.0000 2.1548 5.5856
Nb 2.1548 0.0000 5.5856
Nb 0.0000 0.0000 11.1712
Cd 1.0774 -0.9169 8.3784
Cd 1.2379 1.0774 2.7928
Cd 1.0774 3.0716 -2.7928
Cd 0.9169 1.0774 13.9640
```

final energy	-14.71	eV per formula unit
volume	25.9	A^3/atom
polymorph energy (0 for the lowest one)	1.17	eV per formula unit
formation energy	0.53	eV per atom

=====

Entry 9:
This record from Alexandria describes a geometry-optimized KDy3Ho2Te6 structure. The functional is PBE.

Structure (extended XYZ):
```
12
Lattice="9.6441 -2.1831 0.0000 9.6441 2.1831 0.0000 -2.1441 0.0000 8.7048" Properties=species:S:1:pos:R:3 pbc="T T T"
K 0.0000 0.0000 0.0000
Dy -1.0720 0.0000 4.3524
Dy 6.1713 0.0000 1.5810
Dy 10.9727 0.0000 7.1238
Ho 4.9767 0.0000 5.7114
Ho 12.1673 0.0000 2.9934
Te 1.9561 0.0000 5.0661
Te 3.1916 0.0000 0.7593
Te 7.9851 0.0000 6.3906
Te 9.1590 0.0000 2.3141
Te 13.9524 0.0000 7.9455
Te 15.1880 0.0000 3.6387
```

final energy	-58.23	eV per formula unit
volume	30.5	A^3/atom
formation energy without anion corrections	-123.16	kJ/mol of atoms

=====

Entry 10:
This record from Alexandria describes a geometry-optimized KLiFe2 structure. The functional is PBE.

Structure (extended XYZ):
```
4
Lattice="5.6344 0.0000 0.0000 0.0000 5.6344 0.0000 0.0000 0.0000 2.6227" Properties=species:S:1:pos:R:3 pbc="T T T"
K 0.0000 0.0000 0.0000
Li 2.8172 2.8172 0.0000
Fe 0.0000 2.8172 1.3114
Fe 2.8172 0.0000 1.3114
```

final energy	-15.00	eV per formula unit
volume	20.8	A^3/atom
polymorph energy (0 for the lowest one)	2.76	eV per formula unit
formation energy	1.23	eV per atom

=====

Entry 11:
This record from Alexandria describes a geometry-optimized Pm7TmSc4 structure. The functional is PBE.

Structure (extended XYZ):
```
12
Lattice="6.1388 0.0000 0.0000 -0.0048 7.0745 0.0000 -2.0467 -0.0038 8.4445" Properties=species:S:1:pos:R:3 pbc="T T T"
Pm 0.0000 0.0000 0.0000
Pm 0.0059 3.5302 5.6095
Pm 1.0672 5.3372 2.8722
Pm 3.0309 1.7197 0.0766
Pm 1.0564 5.3510 8.3679
Pm 3.0201 1.7334 5.5723
Pm 4.0814 3.5405 2.8350
Tm -0.0024 3.5372 0.0000
Sc -0.0368 0.0034 5.5660
Sc 0.9754 1.7110 2.8396
Sc 3.1119 5.3596 5.6048
Sc 4.1241 7.0673 2.8784
```

final energy	-62.64	eV per formula unit
volume	30.6	A^3/atom
formation energy	0.03	eV per atom

=====

- Among the records above, which one has the lowest volume?
  TiB2W

=====

- volume of number 10 (KLiFe2)?
  20.8 A^3/atom

=====

- What is the final energy in the seventh record?
  -14.76 eV per formula unit

=====

- volume of number 10 (KLiFe2)?
  20.8 A^3/atom